1.
The following is a PBEsol calculation of LaCo3Pt after structural relaxation, from Alexandria via LeMat-Bulk.

Its total magnetization is 0.27 μB per atom. As for the formation energy: 1.62 eV/atom.

The space group is Pm-3m (No. 221) and the conventional cell measures 4.3665, 4.3665 and 4.3665 Å, with angles of 90.00, 90.00 and 90.00 degrees. The distinct sites, in fractional coordinates, are La at (0.0000, 0.0000, 0.0000), Co at (0.0000, 0.0000, 0.5000) and Pt at (0.5000, 0.5000, 0.5000).

***

2.
The following is a PBEsol calculation of K4MoBr after structural relaxation, from Alexandria via LeMat-Bulk.

Its total magnetization is 0.85 μB per atom. Its uncorrected formation energy is 771 meV/atom.

The space group is F-43m (No. 216) and the conventional cell measures 10.3214, 10.3214 and 10.3214 Å, with angles of 90.00, 90.00 and 90.00 degrees. The distinct sites, in fractional coordinates, are K at (0.1251, 0.1251, 0.1251), Mo at (0.2500, 0.2500, 0.7500) and Br at (0.0000, 0.0000, 0.5000).

***

3.
The following is a PBEsol calculation of Hf2AlTl after structural relaxation, from Alexandria via LeMat-Bulk.

Its total magnetization is 0.00 μB per atom. As for the formation energy: 0.05 eV/atom.

The space group is Fm-3m (No. 225) and the conventional cell measures 6.8432, 6.8432 and 6.8432 Å, with angles of 90.00, 90.00 and 90.00 degrees. The distinct sites, in fractional coordinates, are Hf at (0.2500, 0.2500, 0.2500), Al at (0.0000, 0.0000, 0.0000) and Tl at (0.0000, 0.0000, 0.5000).

***

4.
The following is a PBEsol calculation of LiY2ScF after structural relaxation, from Alexandria via LeMat-Bulk.

Its total magnetization is 0.02 μB per atom. Its uncorrected formation energy is -409 meV/atom.

The space group is P4/mmm (No. 123) and the conventional cell measures 5.9746, 5.9746 and 3.3159 Å, with angles of 90.00, 90.00 and 90.00 degrees. The distinct sites, in fractional coordinates, are Li at (0.0000, 0.0000, 0.0000), Y at (0.0000, 0.5000, 0.0000), Sc at (0.5000, 0.5000, 0.5000) and F at (0.0000, 0.0000, 0.5000).